No. 1
! Ti2Ni4Ir PBE relaxed; values from VASP
! **Spin magnetization**: 0.00 μB per cell
! **Energy**: -7.182 eV/atom
&SYSTEM
  ibrav = 0, nat = 7, ntyp = 3
/
ATOMIC_SPECIES
Ti 47.87 Ti.upf
Ni 58.69 Ni.upf
Ir 192.22 Ir.upf
CELL_PARAMETERS angstrom
6.490 0.677 -0.999
0.730 6.580 -1.165
-4.072 -4.126 3.414
ATOMIC_POSITIONS crystal
Ti 0.858 0.617 0.813
Ti 0.247 0.673 0.537
Ni 0.715 0.146 0.998
Ni 0.513 0.937 0.299
Ni 0.164 0.267 0.774
Ni 0.515 0.442 0.805
Ir 0.988 0.918 0.774

=====

No. 2
! Sb2PbSe PBE relaxed; values from VASP
! **Spin magnetization**: 0.00 μB per cell
! **Energy above the lowest structure with this stoichiometry**: 293.3 meV/atom
! **Formation energy without anion corrections**: 1.75 kcal/mol of atoms
&SYSTEM
  ibrav = 0, nat = 4, ntyp = 3
/
ATOMIC_SPECIES
Pb 207.20 Pb.upf
Sb 121.76 Sb.upf
Se 78.96 Se.upf
CELL_PARAMETERS angstrom
6.726 0.045 0.000
3.857 5.510 0.000
-5.291 -2.778 3.086
ATOMIC_POSITIONS crystal
Pb 0.750 0.250 0.500
Sb 0.000 0.000 0.000
Sb 0.500 0.500 0.000
Se 0.250 0.750 0.500

=====

No. 3
! Dy2Tm3Sc3 PBE relaxed; values from VASP
! **Spin magnetization**: 5.11 μB per cell
! **Energy above the lowest structure with this stoichiometry**: 186.8 meV/atom
&SYSTEM
  ibrav = 0, nat = 8, ntyp = 3
/
ATOMIC_SPECIES
Dy 162.50 Dy.upf
Tm 168.93 Tm.upf
Sc 44.96 Sc.upf
CELL_PARAMETERS angstrom
6.185 0.263 -0.270
0.270 6.185 -0.270
-0.263 -0.263 6.185
ATOMIC_POSITIONS crystal
Dy 0.252 0.252 0.748
Dy 0.748 0.748 0.252
Tm 0.260 0.740 0.500
Tm 0.500 0.260 0.260
Tm 0.740 0.500 0.740
Sc 0.226 0.774 0.000
Sc 0.000 0.226 0.226
Sc 0.774 0.000 0.774

=====

No. 4
! K2NaAgBr5 PBE relaxed; values from VASP
! **Spin magnetization**: 1.15 μB per cell
! **Formation energy without anion corrections**: -26.89 kcal/mol of atoms
&SYSTEM
  ibrav = 0, nat = 18, ntyp = 4
/
ATOMIC_SPECIES
K 39.10 K.upf
Na 22.99 Na.upf
Ag 107.87 Ag.upf
Br 79.90 Br.upf
CELL_PARAMETERS angstrom
-0.787 2.820 3.389
-6.332 -6.903 1.315
9.376 -7.065 8.056
ATOMIC_POSITIONS crystal
K 0.851 0.703 0.804
K 0.103 0.205 0.688
K 0.149 0.297 0.304
K 0.897 0.795 0.188
Na 0.796 0.592 0.528
Na 0.204 0.408 0.028
Ag 0.523 0.045 0.945
Ag 0.477 0.955 0.445
Br 0.380 0.760 0.992
Br 0.662 0.323 0.886
Br 0.483 0.966 0.766
Br 0.274 0.549 0.662
Br 0.954 0.907 0.553
Br 0.620 0.240 0.492
Br 0.338 0.677 0.386
Br 0.517 0.034 0.266
Br 0.726 0.451 0.162
Br 0.046 0.093 0.053

=====

No. 5
! AcLa5PrTm2 PBE relaxed; values from VASP
! **Spin magnetization**: 0.00 μB per cell
! **Energy**: -4.648 eV/atom
&SYSTEM
  ibrav = 0, nat = 18, ntyp = 4
/
ATOMIC_SPECIES
Ac 227.00 Ac.upf
La 138.91 La.upf
Pr 140.91 Pr.upf
Tm 168.93 Tm.upf
CELL_PARAMETERS angstrom
-2.024 -5.448 1.036
2.111 0.685 -9.090
11.609 -3.856 2.405
ATOMIC_POSITIONS crystal
Ac 0.616 0.231 0.920
Ac 0.384 0.769 0.420
La 0.421 0.842 0.089
La 0.771 0.541 0.717
La 0.425 0.850 0.772
La 0.230 0.460 0.628
La 0.938 0.876 0.573
La 0.579 0.158 0.589
La 0.229 0.459 0.217
La 0.575 0.150 0.272
La 0.770 0.540 0.128
La 0.062 0.124 0.073
Pr 0.745 0.491 0.422
Pr 0.255 0.509 0.922
Tm 0.891 0.783 0.924
Tm 0.062 0.125 0.779
Tm 0.109 0.217 0.424
Tm 0.938 0.875 0.279

=====

No. 6
! Cs2LiSnH6 PBE relaxed; values from VASP
! **Spin magnetization**: 0.00 μB per cell
! **Energy**: -2.811 eV/atom
&SYSTEM
  ibrav = 0, nat = 10, ntyp = 4
/
ATOMIC_SPECIES
Cs 132.91 Cs.upf
Li 6.94 Li.upf
Sn 118.71 Sn.upf
H 1.01 H.upf
CELL_PARAMETERS angstrom
6.170 0.000 -0.003
0.000 6.170 0.000
3.083 3.085 4.429
ATOMIC_POSITIONS crystal
Cs 0.750 0.250 0.500
Cs 0.250 0.750 0.500
Li 0.000 0.000 0.000
Sn 0.500 0.500 0.000
H 0.269 0.269 0.462
H 0.735 0.735 0.001
H 0.265 0.735 0.999
H 0.735 0.265 0.001
H 0.265 0.265 0.999
H 0.731 0.731 0.538

=====

No. 7
! Sc2SiBr PBE relaxed; values from VASP
! **Spin magnetization**: 0.46 μB per cell
! **Energy above the lowest structure with this stoichiometry**: 195.8 meV/atom
! **Formation energy without anion corrections**: -16.29 kcal/mol of atoms
&SYSTEM
  ibrav = 0, nat = 4, ntyp = 3
/
ATOMIC_SPECIES
Br 79.90 Br.upf
Sc 44.96 Sc.upf
Si 28.09 Si.upf
CELL_PARAMETERS angstrom
7.230 0.918 -0.270
4.860 5.431 0.270
-5.755 -3.727 2.486
ATOMIC_POSITIONS crystal
Br 0.204 0.704 0.500
Sc 0.025 0.025 0.000
Sc 0.818 0.318 0.500
Si 0.453 0.453 0.000

=====

No. 8
! Pr2YTm5Sc PBE relaxed; values from VASP
! **Spin magnetization**: 0.00 μB per cell
! **Energy**: -4.696 eV/atom
&SYSTEM
  ibrav = 0, nat = 18, ntyp = 4
/
ATOMIC_SPECIES
Pr 140.91 Pr.upf
Y 88.91 Y.upf
Tm 168.93 Tm.upf
Sc 44.96 Sc.upf
CELL_PARAMETERS angstrom
-5.513 -5.796 2.819
6.296 -4.052 3.984
-1.656 9.229 2.976
ATOMIC_POSITIONS crystal
Pr 0.120 0.380 0.000
Pr 0.620 0.120 0.000
Pr 0.380 0.880 0.000
Pr 0.880 0.620 0.000
Y 0.250 0.250 0.500
Y 0.750 0.750 0.500
Tm 0.933 0.433 0.287
Tm 0.646 0.146 0.713
Tm 0.067 0.567 0.713
Tm 0.146 0.067 0.713
Tm 0.567 0.646 0.713
Tm 0.854 0.933 0.287
Tm 0.433 0.354 0.287
Tm 0.354 0.854 0.287
Tm 0.500 0.500 0.000
Tm 0.000 0.000 0.000
Sc 0.250 0.750 0.500
Sc 0.750 0.250 0.500